(1)
A plane-wave DFT calculation with PBE was carried out for crystalline Tb6Zn2Hg at its relaxed geometry.

Properties
Its theoretical density is 8.709 g cm⁻³. For the energy relative to the elements, the calculation gives -0.2304 eV/atom. Its total magnetic moment is 0.000 μB/cell.

Unit cell a=8.6037 b=8.6037 c=8.6037 alpha=110.84 beta=109.37 gamma=108.21
Element x y z (fractional)
Tb  0.0358  0.8207  0.2151
Tb  0.2452  0.5423  0.2971
Tb  0.2452  0.9482  0.7029
Tb  0.2695  0.3200  0.5895
Tb  0.2695  0.6800  0.9496
Tb  0.3945  0.1793  0.2151
Tb  0.6055  0.8207  0.7849
Tb  0.7305  0.3200  0.0504
Tb  0.7305  0.6800  0.4105
Tb  0.7548  0.0518  0.2971
Tb  0.7548  0.4577  0.7029
Tb  0.9642  0.1793  0.7849
Zn  0.0000  0.1355  0.1355
Zn  0.0000  0.8645  0.8645
Zn  0.3746  0.3746  0.0000
Zn  0.6254  0.6254  0.0000
Hg  0.0000  0.5000  0.5000
Hg  0.5000  0.0000  0.5000

=====

(2)
A plane-wave DFT calculation with PBE was carried out for crystalline Tb3Zn8Hg3 at its relaxed geometry.

Properties
Its theoretical density is 9.652 g cm⁻³. For the energy relative to the elements, the calculation gives -0.2910 eV/atom. Its total magnetic moment is 0.000 μB/cell.

Unit cell a=8.4208 b=8.4208 c=8.4208 alpha=149.35 beta=112.99 gamma=75.47
Element x y z (fractional)
Tb  0.0000  0.0000  0.0000
Tb  0.3010  0.3010  0.0000
Tb  0.6990  0.6990  0.0000
Zn  0.0392  0.6703  0.3689
Zn  0.1196  0.8523  0.2673
Zn  0.3014  0.6703  0.6311
Zn  0.4150  0.1477  0.2673
Zn  0.5850  0.8523  0.7327
Zn  0.6986  0.3297  0.3689
Zn  0.8804  0.1477  0.7327
Zn  0.9608  0.3297  0.6311
Hg  0.2795  0.5000  0.7795
Hg  0.5000  0.0000  0.5000
Hg  0.7205  0.5000  0.2205

=====

(3)
A plane-wave DFT calculation with PBE was carried out for crystalline Tb4ZnHg7 at its relaxed geometry.

Properties
Its theoretical density is 11.403 g cm⁻³. For the energy relative to the elements, the calculation gives -0.2863 eV/atom. Its total magnetic moment is 0.000 μB/cell.

Unit cell a=8.0870 b=8.0870 c=9.1214 alpha=121.44 beta=121.44 gamma=38.04
Element x y z (fractional)
Tb  0.0724  0.0724  0.2502
Tb  0.2388  0.2388  0.7585
Tb  0.7612  0.7612  0.2415
Tb  0.9276  0.9276  0.7498
Zn  0.5000  0.5000  0.5000
Hg  0.0000  0.0000  0.5000
Hg  0.1790  0.1790  0.0365
Hg  0.3154  0.3154  0.4954
Hg  0.4455  0.4455  0.1309
Hg  0.5545  0.5545  0.8691
Hg  0.6846  0.6846  0.5046
Hg  0.8210  0.8210  0.9635

=====

(4)
A plane-wave DFT calculation with PBE was carried out for crystalline Tb4Zn2Hg5 at its relaxed geometry.

Properties
Its theoretical density is 10.917 g cm⁻³. For the energy relative to the elements, the calculation gives -0.3765 eV/atom. Its total magnetic moment is 0.000 μB/cell.

Unit cell a=7.7178 b=3.6877 c=9.4593 alpha=90.00 beta=91.37 gamma=90.00
Element x y z (fractional)
Tb  0.1906  0.0000  0.3645
Tb  0.2537  0.0000  0.9184
Tb  0.7463  0.0000  0.0816
Tb  0.8094  0.0000  0.6355
Zn  0.0615  0.5000  0.1243
Zn  0.9385  0.5000  0.8757
Hg  0.1526  0.5000  0.6418
Hg  0.4279  0.5000  0.1682
Hg  0.5000  0.5000  0.5000
Hg  0.5721  0.5000  0.8318
Hg  0.8474  0.5000  0.3582

=====

(5)
A plane-wave DFT calculation with PBE was carried out for crystalline Tb5ZnHg6 at its relaxed geometry.

Properties
Its theoretical density is 11.473 g cm⁻³. For the energy relative to the elements, the calculation gives -0.4157 eV/atom. Its total magnetic moment is 0.484 μB/cell.

Unit cell a=8.1066 b=8.1066 c=7.4713 alpha=90.00 beta=90.00 gamma=142.53
Element x y z (fractional)
Tb  0.0000  0.0000  0.0000
Tb  0.3246  0.6754  0.0000
Tb  0.3449  0.6551  0.5000
Tb  0.6551  0.3449  0.5000
Tb  0.6754  0.3246  0.0000
Zn  0.0000  0.0000  0.5000
Hg  0.1626  0.8374  0.2661
Hg  0.1626  0.8374  0.7339
Hg  0.5000  0.5000  0.2355
Hg  0.5000  0.5000  0.7645
Hg  0.8374  0.1626  0.2661
Hg  0.8374  0.1626  0.7339

=====

(6)
A plane-wave DFT calculation with PBE was carried out for crystalline Tb2Zn15Hg2 at its relaxed geometry.

Properties
Its theoretical density is 8.777 g cm⁻³. For the energy relative to the elements, the calculation gives -0.2012 eV/atom. Its total magnetic moment is 0.000 μB/cell.

Unit cell a=6.8990 b=6.8990 c=6.8990 alpha=83.04 beta=83.04 gamma=83.04
Element x y z (fractional)
Tb  0.1583  0.1583  0.1583
Tb  0.8417  0.8417  0.8417
Zn  0.0000  0.5000  0.5000
Zn  0.1454  0.1454  0.6701
Zn  0.1454  0.6701  0.1454
Zn  0.1954  0.5000  0.8046
Zn  0.1954  0.8046  0.5000
Zn  0.3299  0.8546  0.8546
Zn  0.5000  0.0000  0.5000
Zn  0.5000  0.1954  0.8046
Zn  0.5000  0.5000  0.0000
Zn  0.5000  0.8046  0.1954
Zn  0.6701  0.1454  0.1454
Zn  0.8046  0.1954  0.5000
Zn  0.8046  0.5000  0.1954
Zn  0.8546  0.3299  0.8546
Zn  0.8546  0.8546  0.3299
Hg  0.3914  0.3914  0.3914
Hg  0.6086  0.6086  0.6086

=====

(7)
A plane-wave DFT calculation with PBE was carried out for crystalline Tb3ZnHg2 at its relaxed geometry.

Properties
Its theoretical density is 10.443 g cm⁻³. For the energy relative to the elements, the calculation gives -0.4322 eV/atom. Its total magnetic moment is 0.344 μB/cell.

Unit cell a=3.6549 b=3.6549 c=11.2296 alpha=90.00 beta=90.00 gamma=90.00
Element x y z (fractional)
Tb  0.0000  0.0000  0.0000
Tb  0.0000  0.0000  0.3465
Tb  0.0000  0.0000  0.6535
Zn  0.5000  0.5000  0.5000
Hg  0.5000  0.5000  0.1747
Hg  0.5000  0.5000  0.8253

=====

(8)
A plane-wave DFT calculation with PBE was carried out for crystalline Tb6Zn2Hg at its relaxed geometry.

Properties
Its theoretical density is 7.974 g cm⁻³. For the energy relative to the elements, the calculation gives -0.0180 eV/atom. Its total magnetic moment is 0.001 μB/cell.

Unit cell a=11.3194 b=11.3194 c=11.3194 alpha=154.54 beta=154.54 gamma=36.31
Element x y z (fractional)
Tb  0.0878  0.5878  0.5000
Tb  0.2500  0.7500  0.5000
Tb  0.4122  0.9122  0.5000
Tb  0.5878  0.0878  0.5000
Tb  0.7500  0.2500  0.5000
Tb  0.9122  0.4122  0.5000
Zn  0.1672  0.1672  0.0000
Zn  0.8328  0.8328  0.0000
Hg  0.5000  0.5000  0.0000

=====

(9)
A plane-wave DFT calculation with PBE was carried out for crystalline Tb4ZnHg2 at its relaxed geometry.

Properties
Its theoretical density is 9.456 g cm⁻³. For the energy relative to the elements, the calculation gives -0.2742 eV/atom. Its total magnetic moment is 0.005 μB/cell.

Unit cell a=8.8662 b=8.8662 c=8.8662 alpha=33.93 beta=33.93 gamma=33.93
Element x y z (fractional)
Tb  0.1237  0.1237  0.1237
Tb  0.3748  0.3748  0.3748
Tb  0.6252  0.6252  0.6252
Tb  0.8763  0.8763  0.8763
Zn  0.5000  0.5000  0.5000
Hg  0.2497  0.2497  0.2497
Hg  0.7503  0.7503  0.7503

=====

(10)
A plane-wave DFT calculation with PBE was carried out for crystalline Tb3ZnHg5 at its relaxed geometry.

Properties
Its theoretical density is 11.836 g cm⁻³. For the energy relative to the elements, the calculation gives -0.3831 eV/atom. Its total magnetic moment is 0.000 μB/cell.

Unit cell a=8.9406 b=8.9406 c=6.2631 alpha=90.00 beta=90.00 gamma=120.00
Element x y z (fractional)
Tb  0.0000  0.3350  0.2500
Tb  0.0000  0.6650  0.7500
Tb  0.3350  0.0000  0.2500
Tb  0.3350  0.3350  0.7500
Tb  0.6650  0.0000  0.7500
Tb  0.6650  0.6650  0.2500
Zn  0.0000  0.0000  0.0000
Zn  0.0000  0.0000  0.5000
Hg  0.0000  0.3251  0.7500
Hg  0.0000  0.6749  0.2500
Hg  0.3251  0.0000  0.7500
Hg  0.3251  0.3251  0.2500
Hg  0.3333  0.6667  0.0000
Hg  0.3333  0.6667  0.5000
Hg  0.6667  0.3333  0.0000
Hg  0.6667  0.3333  0.5000
Hg  0.6749  0.0000  0.2500
Hg  0.6749  0.6749  0.7500

=====

(11)
A plane-wave DFT calculation with PBE was carried out for crystalline Tb3Zn2Hg6 at its relaxed geometry.

Properties
Its theoretical density is 11.021 g cm⁻³. For the energy relative to the elements, the calculation gives -0.1953 eV/atom. Its total magnetic moment is 0.000 μB/cell.

Unit cell a=15.6542 b=15.6542 c=15.6542 alpha=164.53 beta=164.53 gamma=21.95
Element x y z (fractional)
Tb  0.0000  0.0000  0.0000
Tb  0.1710  0.1710  0.0000
Tb  0.8290  0.8290  0.0000
Zn  0.3606  0.3606  0.0000
Zn  0.6394  0.6394  0.0000
Hg  0.0769  0.5769  0.5000
Hg  0.2731  0.2731  0.0000
Hg  0.4231  0.9231  0.5000
Hg  0.5769  0.0769  0.5000
Hg  0.7269  0.7269  0.0000
Hg  0.9231  0.4231  0.5000

=====

(12)
A plane-wave DFT calculation with PBE was carried out for crystalline TbZn3Hg at its relaxed geometry.

Properties
Its theoretical density is 9.239 g cm⁻³. For the energy relative to the elements, the calculation gives -0.2608 eV/atom. Its total magnetic moment is 0.000 μB/cell.

Unit cell a=4.0985 b=4.0985 c=6.6060 alpha=107.93 beta=107.93 gamma=90.08
Element x y z (fractional)
Tb  0.0000  0.0000  0.0000
Zn  0.2266  0.7282  0.4525
Zn  0.6013  0.6013  0.2006
Zn  0.7282  0.2266  0.4525
Hg  0.3804  0.3804  0.7589

=====

(13)
A plane-wave DFT calculation with PBE was carried out for crystalline Tb2ZnHg6 at its relaxed geometry.

Properties
Its theoretical density is 11.943 g cm⁻³. For the energy relative to the elements, the calculation gives -0.1886 eV/atom. Its total magnetic moment is 0.001 μB/cell.

Unit cell a=8.6996 b=8.6996 c=3.4878 alpha=90.20 beta=90.20 gamma=56.70
Element x y z (fractional)
Tb  0.1942  0.1942  0.9995
Tb  0.8058  0.8058  0.0005
Zn  0.5000  0.5000  0.5000
Hg  0.1634  0.5292  0.5014
Hg  0.1769  0.8231  0.0000
Hg  0.4708  0.8366  0.4986
Hg  0.5292  0.1634  0.5014
Hg  0.8231  0.1769  0.0000
Hg  0.8366  0.4708  0.4986

=====

(14)
A plane-wave DFT calculation with PBE was carried out for crystalline Tb2Zn2Hg at its relaxed geometry.

Properties
Its theoretical density is 9.301 g cm⁻³. For the energy relative to the elements, the calculation gives -0.3393 eV/atom. Its total magnetic moment is 0.000 μB/cell.

Unit cell a=5.8938 b=5.8938 c=10.3521 alpha=113.40 beta=113.40 gamma=45.59
Element x y z (fractional)
Tb  0.0211  0.0211  0.3341
Tb  0.1861  0.1861  0.0987
Tb  0.8139  0.8139  0.9013
Tb  0.9789  0.9789  0.6659
Zn  0.3724  0.3724  0.4308
Zn  0.4722  0.4722  0.1118
Zn  0.5278  0.5278  0.8882
Zn  0.6276  0.6276  0.5692
Hg  0.2714  0.2714  0.6615
Hg  0.7286  0.7286  0.3385

=====

(15)
A plane-wave DFT calculation with PBE was carried out for crystalline Tb6ZnHg3 at its relaxed geometry.

Properties
Its theoretical density is 10.135 g cm⁻³. For the energy relative to the elements, the calculation gives -0.3195 eV/atom. Its total magnetic moment is 0.000 μB/cell.

Unit cell a=9.2126 b=5.2183 c=11.5658 alpha=90.00 beta=107.22 gamma=90.00
Element x y z (fractional)
Tb  0.0215  0.2500  0.4024
Tb  0.1602  0.7500  0.1762
Tb  0.2672  0.2500  0.0079
Tb  0.3536  0.7500  0.8309
Tb  0.3743  0.2500  0.3429
Tb  0.3863  0.2500  0.6255
Tb  0.6137  0.7500  0.3745
Tb  0.6257  0.7500  0.6571
Tb  0.6464  0.2500  0.1691
Tb  0.7328  0.7500  0.9921
Tb  0.8398  0.2500  0.8238
Tb  0.9785  0.7500  0.5976
Zn  0.4543  0.7500  0.1102
Zn  0.5457  0.2500  0.8898
Hg  0.0258  0.7500  0.8805
Hg  0.1234  0.2500  0.7274
Hg  0.2760  0.7500  0.4707
Hg  0.7240  0.2500  0.5293
Hg  0.8766  0.7500  0.2726
Hg  0.9742  0.2500  0.1195

=====

(16)
A plane-wave DFT calculation with PBE was carried out for crystalline Tb6Zn3Hg at its relaxed geometry.

Properties
Its theoretical density is 8.739 g cm⁻³. For the energy relative to the elements, the calculation gives -0.2521 eV/atom. Its total magnetic moment is 0.000 μB/cell.

Unit cell a=9.4370 b=5.0153 c=11.3880 alpha=90.00 beta=107.81 gamma=90.00
Element x y z (fractional)
Tb  0.0193  0.2500  0.3947
Tb  0.1430  0.7500  0.1924
Tb  0.2224  0.2500  0.0021
Tb  0.3535  0.7500  0.8334
Tb  0.3638  0.2500  0.6197
Tb  0.3832  0.2500  0.3468
Tb  0.6168  0.7500  0.6532
Tb  0.6362  0.7500  0.3803
Tb  0.6465  0.2500  0.1666
Tb  0.7776  0.7500  0.9979
Tb  0.8570  0.2500  0.8076
Tb  0.9807  0.7500  0.6053
Zn  0.0379  0.7500  0.8862
Zn  0.1281  0.2500  0.7279
Zn  0.2686  0.7500  0.4742
Zn  0.7314  0.2500  0.5258
Zn  0.8719  0.7500  0.2721
Zn  0.9621  0.2500  0.1138
Hg  0.4279  0.7500  0.1218
Hg  0.5721  0.2500  0.8782

=====

(17)
A plane-wave DFT calculation with PBE was carried out for crystalline Tb4ZnHg3 at its relaxed geometry.

Properties
Its theoretical density is 10.355 g cm⁻³. For the energy relative to the elements, the calculation gives -0.3980 eV/atom. Its total magnetic moment is 0.001 μB/cell.

Unit cell a=3.8088 b=4.7493 c=11.5495 alpha=90.00 beta=90.00 gamma=90.00
Element x y z (fractional)
Tb  0.0000  0.0000  0.0000
Tb  0.0000  0.5000  0.2897
Tb  0.5000  0.0000  0.4880
Tb  0.5000  0.5000  0.7930
Zn  0.5000  0.0000  0.2227
Hg  0.0000  0.0000  0.7288
Hg  0.0000  0.5000  0.5588
Hg  0.5000  0.5000  0.0664

=====

(18)
A plane-wave DFT calculation with PBE was carried out for crystalline Tb3Zn8Hg at its relaxed geometry.

Properties
Its theoretical density is 8.713 g cm⁻³. For the energy relative to the elements, the calculation gives -0.2784 eV/atom. Its total magnetic moment is 0.000 μB/cell.

Unit cell a=9.4311 b=9.4311 c=9.4311 alpha=33.60 beta=33.60 gamma=33.60
Element x y z (fractional)
Tb  0.0000  0.0000  0.0000
Tb  0.1266  0.1266  0.1266
Tb  0.6146  0.6146  0.6146
Zn  0.0522  0.5616  0.5616
Zn  0.0619  0.0619  0.5598
Zn  0.0619  0.5598  0.0619
Zn  0.3103  0.3103  0.3103
Zn  0.5598  0.0619  0.0619
Zn  0.5616  0.0522  0.5616
Zn  0.5616  0.5616  0.0522
Zn  0.8098  0.8098  0.8098
Hg  0.4931  0.4931  0.4931

=====

(19)
A plane-wave DFT calculation with PBE was carried out for crystalline Tb6Zn5Hg at its relaxed geometry.

Properties
Its theoretical density is 8.700 g cm⁻³. For the energy relative to the elements, the calculation gives -0.3560 eV/atom. Its total magnetic moment is 0.006 μB/cell.

Unit cell a=8.0616 b=8.0616 c=7.2590 alpha=90.00 beta=90.00 gamma=143.18
Element x y z (fractional)
Tb  0.0000  0.0000  0.2424
Tb  0.0000  0.0000  0.7576
Tb  0.3306  0.6694  0.2448
Tb  0.3306  0.6694  0.7552
Tb  0.6694  0.3306  0.2448
Tb  0.6694  0.3306  0.7552
Zn  0.1669  0.8331  0.0000
Zn  0.1694  0.8306  0.5000
Zn  0.5000  0.5000  0.0000
Zn  0.8306  0.1694  0.5000
Zn  0.8331  0.1669  0.0000
Hg  0.5000  0.5000  0.5000

=====

(20)
A plane-wave DFT calculation with PBE was carried out for crystalline Tb2Zn2Hg3 at its relaxed geometry.

Properties
Its theoretical density is 10.776 g cm⁻³. For the energy relative to the elements, the calculation gives -0.2786 eV/atom. Its total magnetic moment is 0.583 μB/cell.

Unit cell a=10.3657 b=10.3657 c=3.6271 alpha=90.00 beta=90.00 gamma=155.46
Element x y z (fractional)
Tb  0.1613  0.8387  0.0000
Tb  0.8387  0.1613  0.0000
Zn  0.2812  0.7188  0.5000
Zn  0.7188  0.2812  0.5000
Hg  0.0000  0.0000  0.0000
Hg  0.4223  0.5777  0.5000
Hg  0.5777  0.4223  0.5000

=====

The records above yield V values of 27.2 19.7 25.5 24.5 24.9 16.9 25.0 29.7 27.7 24.1 24.8 20.0 24.5 23.2 26.6 25.7 26.1 19.1 23.6 23.1 Å³ per atom, respectively.
The records above yield raw total energy values of -3.6338 -2.0758 -2.1119 -2.4290 -2.6020 -1.7261 -3.0602 -3.4214 -3.1882 -2.2357 -1.8544 -2.0116 -1.5603 -2.7613 -3.3156 -3.4426 -2.9856 -2.3104 -3.2271 -2.0949 eV/atom, respectively.
The records above yield density of states at the Fermi level values of 9.55 7.03 7.60 7.51 9.26 4.20 6.66 12.87 8.97 5.32 10.88 2.16 5.81 4.71 9.12 8.70 8.96 4.82 15.03 5.82 states/eV/f.u., respectively.